Entry 1:
Below is a relaxed KAsPtBr2 crystal, with properties calculated at the PBE-GGA level.

The space group is P4/mmm (No. 123) and the conventional cell measures 5.8670, 5.8670 and 6.3503 Å, with angles of 90.00, 90.00 and 90.00 degrees. The inequivalent atoms are K at (0.0000, 0.0000, 0.0000), As at (0.0000, 0.0000, 0.5000), Pt at (0.5000, 0.5000, 0.5000) and Br at (0.0000, 0.5000, 0.0000).

As for the crystal system: tetragonal. The uncorrected formation energy is 1.0734 eV per atom. For the calculated volume, the calculation gives 43.7 Å³ per atom. Its energy above the lowest structure with this stoichiometry is 1.514 eV per atom. The value obtained for the calculated total energy is -1.953 eV per atom.

---

Entry 2:
Below is a relaxed KAsPtBr2 crystal, with properties calculated at the PBE-GGA level.

The space group is P4/mmm (No. 123) and the conventional cell measures 5.6375, 5.6375 and 4.6741 Å, with angles of 90.00, 90.00 and 90.00 degrees. The inequivalent atoms are K at (0.0000, 0.0000, 0.0000), As at (0.5000, 0.5000, 0.0000), Pt at (0.5000, 0.5000, 0.5000) and Br at (0.0000, 0.5000, 0.5000).

As for the crystal system: tetragonal. The uncorrected formation energy is -0.4403 eV per atom. For the calculated volume, the calculation gives 29.7 Å³ per atom. Its energy above the lowest structure with this stoichiometry is 0.000 eV per atom. The value obtained for the calculated total energy is -3.467 eV per atom.

---

Entry 3:
Below is a relaxed K2RbAsBr6 crystal, with properties calculated at the PBE-GGA level.

The space group is R3 (No. 146, hexagonal axes) and the conventional cell measures 8.0910, 8.0910 and 20.8079 Å, with angles of 90.00, 90.00 and 120.00 degrees. The inequivalent atoms are K at (0.0000, 0.0000, 0.0000), K at (0.0000, 0.0000, 0.4861), Rb at (0.0000, 0.0000, 0.2046), As at (0.0000, 0.0000, 0.6933), Br at (0.0365, 0.2951, 0.7657) and Br at (0.0779, 0.6818, 0.2824).

As for the crystal system: trigonal. The uncorrected formation energy is -1.2071 eV per atom. For the calculated volume, the calculation gives 39.3 Å³ per atom. Its energy above the lowest structure with this stoichiometry is 0.000 eV per atom. The value obtained for the calculated total energy is -2.992 eV per atom.

---

no.,total magnetization (μB per formula unit)
1,2.6
2,0.4
3,0.0